AcPmNd2Se4 | the Alexandria database | PBE | optimized geometry; E_tot = -5.87 eV per atom; M_tot = 0.00 μB per formula unit
1.0
-3.491 -2.110 -1.151
2.804 -6.221 2.898
-2.071 -0.487 7.176
Se Nd Ac Pm
4 2 1 1
direct
0.500 0.752 0.257
0.000 0.241 0.261
0.500 0.248 0.743
0.000 0.759 0.739
0.000 0.000 0.000
0.500 0.000 0.500
0.500 0.500 0.000
0.000 0.500 0.500